The following is a DFT calculation (PBE with a Hubbard U) of BaMo2F2 after structural relaxation.

Structure (extended XYZ):
```
5
Lattice="4.628 0.000 0.000 0.000 4.628 0.000 2.314 2.314 5.156" Properties=species:S:1:pos:R:3 pbc="T T T"
Mo 4.628 4.628 3.900
Mo 2.314 2.314 1.257
F 2.314 4.628 2.578
F 4.628 2.314 2.578
Ba 0.000 0.000 0.000
```

energy above the lowest structure with this stoichiometry: 0.000 eV/atom
DFT total energy: -21.21 eV per cell